Version 1
## ZrTi2Re (PBE)

Data for a relaxed ZrTi2Re crystal.

Cell lengths 4.593, 4.593, 3.235 Å; angles 90.00, 90.00, 90.00 degrees
Space group P4/mmm (No. 123)
Inequivalent atoms, fractional coordinates:
Zr: 0.000 0.000 0.000 [1 per cell]
Ti: 0.000 0.500 0.500 [2 per cell]
Re: 0.500 0.500 0.000 [1 per cell]

Output
* DOS(E_F): 1.5390 states/eV/atom
* total magnetization: 0.001 μB per cell



Version 2
## ZrTi2Re (PBE)

Data for a relaxed ZrTi2Re crystal.

Cell lengths 3.163, 3.163, 7.048 Å; angles 90.00, 90.00, 90.00 degrees
Space group P4/mmm (No. 123)
Inequivalent atoms, fractional coordinates:
Zr: 0.000 0.000 0.000 [1 per cell]
Ti: 0.500 0.500 0.291 [2 per cell]
Re: 0.000 0.000 0.500 [1 per cell]

Output
* DOS(E_F): 1.0975 states/eV/atom
* total magnetization: 0.000 μB per cell



Version 3
## ZrTi2Re (PBE)

Data for a relaxed ZrTi2Re crystal.

Cell lengths 6.488, 6.488, 6.488 Å; angles 90.00, 90.00, 90.00 degrees
Space group Fm-3m (No. 225)
Inequivalent atoms, fractional coordinates:
Zr: 0.000 0.000 0.000 [4 per cell]
Ti: 0.250 0.250 0.250 [8 per cell]
Re: 0.000 0.000 0.500 [4 per cell]

Output
* DOS(E_F): 1.7367 states/eV/atom
* total magnetization: 0.000 μB per cell



version 2 comes first in stability; the runner-up is 0.119 eV/atom higher.